Here is NaBeReOs after structural relaxation from OQMD. Energies are from PBE-GGA.

Properties
magnetization = 0.00 μB/atom
polymorph energy (0 for the lowest one) = 68 meV/atom

Unit cell a=6.035 b=6.035 c=6.035 alpha=90.00 beta=90.00 gamma=90.00
Space group F-43m (No. 216)
Unique sites:
Na  0.000  0.000  0.000 [4 per cell]
Be  0.250  0.250  0.250 [4 per cell]
Re  0.000  0.000  0.500 [4 per cell]
Os  0.250  0.250  0.750 [4 per cell]



Here is CsTaI4O after structural relaxation from OQMD. Energies are from PBE-GGA.

Properties
magnetization = 0.00 μB/atom

Unit cell a=14.835 b=4.063 c=9.039 alpha=90.00 beta=109.20 gamma=90.00
Space group C2 (No. 5)
Unique sites:
Cs  0.000  0.000  0.000 [2 per cell]
Ta  0.000  0.445  0.500 [2 per cell]
I  0.138  0.504  0.357 [4 per cell]
I  0.146  0.500  0.789 [4 per cell]
O  0.000  0.995  0.500 [2 per cell]



Here is ZnSnPd2 after structural relaxation from OQMD. Energies are from PBE-GGA.

Unit cell a=3.2078 b=3.2078 c=15.5978 alpha=90.00 beta=90.00 gamma=120.00
Space group P6_3/mmc (No. 194)
Unique sites:
Zn  0.3333  0.6667  0.2500 [2 per cell]
Sn  0.0000  0.0000  0.0000 [2 per cell]
Pd  0.3333  0.6667  0.6326 [4 per cell]



Here is HoZnPd after structural relaxation from OQMD. Energies are from PBE-GGA.

Properties
magnetization = 0.00 μB/atom
formation energy = -710 meV per atom

Unit cell a=4.4558 b=4.4558 c=6.8960 alpha=90.00 beta=90.00 gamma=120.00
Space group P6_3mc (No. 186)
Unique sites:
Ho  0.0000  0.0000  0.0000 [2 per cell]
Zn  0.3333  0.6667  0.2480 [2 per cell]
Pd  0.3333  0.6667  0.7520 [2 per cell]



Here is ZnAg2Mo after structural relaxation from OQMD. Energies are from PBE-GGA.

Properties
magnetization = 0.44 μB/atom
formation energy = 494 meV per atom

Unit cell a=6.428 b=6.428 c=6.428 alpha=90.00 beta=90.00 gamma=90.00
Space group F-43m (No. 216)
Unique sites:
Zn  0.000  0.000  0.000 [4 per cell]
Ag  0.000  0.000  0.500 [4 per cell]
Ag  0.250  0.250  0.750 [4 per cell]
Mo  0.250  0.250  0.250 [4 per cell]



Here is LiTaAlOs after structural relaxation from OQMD. Energies are from PBE-GGA.

Properties
magnetization = 0.00 μB/atom
polymorph energy (0 for the lowest one) = 0 meV/atom

Unit cell a=6.165 b=6.165 c=6.165 alpha=90.00 beta=90.00 gamma=90.00
Space group F-43m (No. 216)
Unique sites:
Li  0.000  0.000  0.000 [4 per cell]
Ta  0.250  0.250  0.750 [4 per cell]
Al  0.250  0.250  0.250 [4 per cell]
Os  0.000  0.000  0.500 [4 per cell]



It is found that the uncorrected energy values, taken in the order of the records, are -0.4827; -0.3387; -0.3131; -0.3221; -0.2901; -0.5560 Ry per atom.
It is found that the V values, taken in the order of the records, are 13.7; 36.8; 17.4; 19.8; 16.6; 14.6 A^3/atom.